An optimized crystal structure of Gd2InIr. Source: the Alexandria database, functional PBE.

Calculated values
The relative energy among the computed polymorphs comes out at 121.0 meV per atom. The total magnetic moment is 3.5441 μB per atom. Its crystal system is cubic.

The structure in POSCAR format:
```
Gd2InIr
1.0
7.245 0.000 0.000
0.000 7.245 0.000
0.000 0.000 7.245
Gd In Ir
8 4 4
Direct
0.250 0.250 0.250
0.250 0.250 0.750
0.250 0.750 0.250
0.250 0.750 0.750
0.750 0.250 0.250
0.750 0.250 0.750
0.750 0.750 0.250
0.750 0.750 0.750
0.000 0.000 0.000
0.000 0.500 0.500
0.500 0.000 0.500
0.500 0.500 0.000
0.000 0.000 0.500
0.000 0.500 0.000
0.500 0.000 0.000
0.500 0.500 0.500
```